Entry 1:
# Dy12ZnNi5

An optimized crystal structure of Dy12ZnNi5 (GGA-PBE, the Alexandria database).

a = 8.2587 Å, b = 8.2587 Å, c = 8.2587 Å
α = 107.20°, β = 111.44°, γ = 109.80°
Closest atoms and distances in Å follow each position.
Element x y z (fractional)
Dy  0.5324  0.8201  0.7123  4 Ni 2.88-3.18
Dy  0.4676  0.1799  0.2877  4 Ni 2.88-3.18
Dy  0.8922  0.1799  0.7123  4 Ni 2.88-3.18
Dy  0.1078  0.8201  0.2877  4 Ni 2.88-3.18
Dy  0.6950  0.6750  0.3700  3 Ni 2.68-2.84
Dy  0.3050  0.3250  0.6300  3 Ni 2.68-2.84
Dy  0.3050  0.6750  0.9799  3 Ni 2.68-2.84
Dy  0.6950  0.3250  0.0201  3 Ni 2.68-2.84
Dy  0.8120  0.5890  0.7771  2 Ni 2.71-2.82
Dy  0.1880  0.4110  0.2229  2 Ni 2.71-2.82
Dy  0.1880  0.9651  0.7771  2 Ni 2.71-2.82
Dy  0.8120  0.0349  0.2229  2 Ni 2.71-2.82
Zn  0.0000  0.5000  0.5000  12 Dy 3.25-3.63
Ni  0.6433  0.6433  0.0000  6 Dy 2.71-2.84, 1 Ni 2.72
Ni  0.3567  0.3567  0.0000  6 Dy 2.71-2.84, 1 Ni 2.72
Ni  0.5000  0.1232  0.6232  1 Ni 2.41, 2 Dy 2.68
Ni  0.5000  0.8768  0.3768  1 Ni 2.41, 2 Dy 2.68
Ni  0.0000  0.0000  0.0000  4 Dy 2.82

Output
uncorrected energy = -90.7 eV/cell

Entry 2:
# Dy5Zn4Ni

An optimized crystal structure of Dy5Zn4Ni (GGA-PBE, the Alexandria database).

a = 3.5279 Å, b = 3.5279 Å, c = 17.6320 Å
α = 90.00°, β = 90.00°, γ = 90.00°
Closest atoms and distances in Å follow each position.
Element x y z (fractional)
Dy  0.5000  0.5000  0.0915  4 Ni 2.97, 4 Zn 3.10, 1 Dy 3.23
Dy  0.5000  0.5000  0.2958  8 Zn 3.06-3.07
Dy  0.5000  0.5000  0.5000  8 Zn 3.09
Dy  0.5000  0.5000  0.7042  8 Zn 3.06-3.07
Dy  0.5000  0.5000  0.9085  4 Ni 2.97, 4 Zn 3.10, 1 Dy 3.23
Zn  0.0000  0.0000  0.1955  8 Dy 3.06-3.10
Zn  0.0000  0.0000  0.3970  8 Dy 3.07-3.09
Zn  0.0000  0.0000  0.6030  8 Dy 3.07-3.09
Zn  0.0000  0.0000  0.8045  8 Dy 3.06-3.10
Ni  0.0000  0.0000  0.0000  8 Dy 2.97

Output
uncorrected energy = -37.4 eV/cell

Entry 3:
# Dy3Zn8Ni3

An optimized crystal structure of Dy3Zn8Ni3 (GGA-PBE, the Alexandria database).

a = 4.1907 Å, b = 7.9783 Å, c = 7.9783 Å
α = 70.44°, β = 74.77°, γ = 74.77°
Closest atoms and distances in Å follow each position.
Element x y z (fractional)
Dy  0.5000  0.5000  0.5000  12 Zn 2.97-3.24
Dy  0.8256  0.1744  0.1744  4 Ni 2.90-3.00, 8 Zn 2.99-3.12
Dy  0.1744  0.8256  0.8256  4 Ni 2.90-3.00, 8 Zn 2.99-3.12
Zn  0.6168  0.1010  0.6654  3 Ni 2.47-2.54, 3 Zn 2.56-2.71
Zn  0.3832  0.8990  0.3346  3 Ni 2.47-2.54, 3 Zn 2.56-2.71
Zn  0.6168  0.6654  0.1010  3 Ni 2.47-2.54, 3 Zn 2.56-2.71
Zn  0.3832  0.3346  0.8990  3 Ni 2.47-2.54, 3 Zn 2.56-2.71
Zn  0.8290  0.8115  0.5305  1 Ni 2.52, 4 Zn 2.56-2.71
Zn  0.1710  0.1885  0.4695  1 Ni 2.52, 4 Zn 2.56-2.71
Zn  0.8290  0.5305  0.8115  1 Ni 2.52, 4 Zn 2.56-2.71
Zn  0.1710  0.4695  0.1885  1 Ni 2.52, 4 Zn 2.56-2.71
Ni  0.5000  0.0000  0.0000  4 Zn 2.47
Ni  0.0000  0.7894  0.2106  6 Zn 2.52-2.54
Ni  0.0000  0.2106  0.7894  6 Zn 2.52-2.54

Output
uncorrected energy = -46.2 eV/cell

Entry 4:
# DyZn3Ni

An optimized crystal structure of DyZn3Ni (GGA-PBE, the Alexandria database).

a = 4.5379 Å, b = 4.5379 Å, c = 4.5379 Å
α = 90.00°, β = 90.00°, γ = 90.00°
Closest atoms and distances in Å follow each position.
Element x y z (fractional)
Ni  0.0000  0.0000  0.0000  6 Zn 2.27
Zn  0.0000  0.5000  0.0000  2 Ni 2.27
Zn  0.0000  0.0000  0.5000  2 Ni 2.27
Zn  0.5000  0.0000  0.0000  2 Ni 2.27
Dy  0.5000  0.5000  0.5000  12 Zn 3.21

Output
uncorrected energy = -15.0 eV/cell
energy relative to the lowest polymorph listed for this composition = 160 meV per atom

Entry 5:
# Dy4ZnNi2

An optimized crystal structure of Dy4ZnNi2 (GGA-PBE, the Alexandria database).

a = 4.7227 Å, b = 4.7227 Å, c = 8.9709 Å
α = 74.74°, β = 74.74°, γ = 60.00°
Closest atoms and distances in Å follow each position.
Element x y z (fractional)
Dy  0.3823  0.3823  0.8530  3 Ni 2.97, 3 Zn 3.00
Dy  0.2050  0.2050  0.3849  4 Ni 2.83-2.86
Dy  0.7950  0.7950  0.6151  4 Ni 2.83-2.86
Dy  0.6177  0.6177  0.1470  3 Ni 2.97, 3 Zn 3.00
Zn  0.0000  0.0000  0.0000  2 Ni 2.43
Ni  0.0947  0.0947  0.7160  1 Zn 2.43
Ni  0.9053  0.9053  0.2840  1 Zn 2.43

Output
uncorrected energy = -32.9 eV/cell

Entry 6:
# DyZn4Ni2

An optimized crystal structure of DyZn4Ni2 (GGA-PBE, the Alexandria database).

a = 5.8359 Å, b = 5.8359 Å, c = 5.8359 Å
α = 100.83°, β = 100.83°, γ = 128.63°
Closest atoms and distances in Å follow each position.
Element x y z (fractional)
Dy  0.0000  0.0000  0.0000  8 Zn 3.09
Zn  0.5000  0.2613  0.7613  2 Ni 2.32, 2 Zn 2.51
Zn  0.7387  0.5000  0.2387  2 Ni 2.32, 2 Zn 2.51
Zn  0.2613  0.5000  0.7613  2 Ni 2.32, 2 Zn 2.51
Zn  0.5000  0.7387  0.2387  2 Ni 2.32, 2 Zn 2.51
Ni  0.7500  0.2500  0.5000  4 Zn 2.32, 2 Ni 2.53
Ni  0.2500  0.7500  0.5000  4 Zn 2.32, 2 Ni 2.53

Output
uncorrected energy = -19.9 eV/cell
energy relative to the lowest polymorph listed for this composition = 471 meV per atom